# Sb2As3

A relaxed Sb2As3 crystal (PBE, Alexandria via LeMat-Bulk).

space group: No. 43
crystal system: orthorhombic
energy relative to the elements, uncorrected: 0.1704 eV/atom

abc: 8.8082 7.0768 6.8652
angles: 78.35 51.89 49.76
Fractional positions:
Sb1 0.7897 0.3166 0.5092
Sb2 0.3844 0.5092 0.3166
Sb3 0.9334 0.4603 0.8656
Sb4 0.7408 0.8656 0.4603
As1 0.5054 0.8128 0.3604
As2 0.3215 0.3604 0.8128
As3 0.4372 0.7446 0.9285
As4 0.8896 0.9285 0.7446
As5 0.9990 0.0010 0.0010
As6 0.2490 0.2510 0.2510

---

# BaSnHg2Bi

A relaxed BaSnHg2Bi crystal (PBE, Alexandria via LeMat-Bulk).

space group: No. 123
crystal system: tetragonal
calculated formation energy: -0.192 eV per atom

abc: 5.5971 5.5971 6.1106
angles: 90.00 90.00 90.00
Fractional positions:
Ba1 0.5000 0.5000 0.5000
Bi1 0.0000 0.0000 0.5000
Sn1 0.0000 0.0000 0.0000
Hg1 0.0000 0.5000 0.0000
Hg2 0.5000 0.0000 0.0000

---

# YAsOs2

A relaxed YAsOs2 crystal (PBE, Alexandria via LeMat-Bulk).

space group: No. 6
crystal system: monoclinic
calculated formation energy: 0.021 eV per atom

abc: 4.1556 2.9562 5.9752
angles: 76.90 90.00 90.00
Fractional positions:
Y1 0.0000 0.5012 0.5104
As1 0.5000 0.8478 0.7826
Os1 0.0000 0.8844 0.0282
Os2 0.5000 0.2666 0.1788

---

# Ho6Te5As

A relaxed Ho6Te5As crystal (PBE, Alexandria via LeMat-Bulk).

space group: No. 12
crystal system: monoclinic
energy relative to the elements, uncorrected: -1.3373 eV/atom

abc: 7.4663 7.4663 7.4494
angles: 99.53 99.53 120.08
Fractional positions:
As1 0.0000 0.0000 0.0000
Te1 0.8242 0.1758 0.5000
Te2 0.6644 0.3356 0.0000
Te3 0.5000 0.5000 0.5000
Te4 0.3356 0.6644 0.0000
Te5 0.1758 0.8242 0.5000
Ho1 0.9252 0.6197 0.7714
Ho2 0.3803 0.0748 0.2286
Ho3 0.7758 0.7758 0.2373
Ho4 0.2242 0.2242 0.7627
Ho5 0.6197 0.9252 0.7714
Ho6 0.0748 0.3803 0.2286

---

# SrTbGePd

A relaxed SrTbGePd crystal (PBE, Alexandria via LeMat-Bulk).

space group: No. 216
crystal system: cubic
calculated formation energy: -0.598 eV per atom

abc: 5.1673 5.1673 5.1673
angles: 60.00 60.00 60.00
Fractional positions:
Sr1 0.0000 0.0000 0.0000
Ge1 0.2500 0.2500 0.2500
Tb1 0.5000 0.5000 0.5000
Pd1 0.7500 0.7500 0.7500

---

# NiPtAu2

A relaxed NiPtAu2 crystal (PBE, Alexandria via LeMat-Bulk).

space group: No. 160
crystal system: trigonal
calculated formation energy: 0.047 eV per atom

abc: 9.3817 9.3817 9.3817
angles: 17.27 17.27 17.27
Fractional positions:
Au1 0.0021 0.0021 0.0021
Au2 0.2423 0.2423 0.2423
Ni1 0.4977 0.4977 0.4977
Pt1 0.7579 0.7579 0.7579

---

# SrMg2P

A relaxed SrMg2P crystal (PBE, Alexandria via LeMat-Bulk).

space group: No. 123
crystal system: tetragonal
calculated formation energy: -0.283 eV per atom

abc: 4.3731 4.3731 5.1525
angles: 90.00 90.00 90.00
Fractional positions:
Mg1 0.0000 0.0000 0.0000
Mg2 0.5000 0.5000 0.0000
P1 0.5000 0.0000 0.5000
Sr1 0.0000 0.5000 0.5000

---

# RbPd3N

A relaxed RbPd3N crystal (PBE, Alexandria via LeMat-Bulk).

space group: No. 221
crystal system: cubic
energy relative to the elements, uncorrected: 2.4394 eV/atom

abc: 5.3364 5.3364 5.3364
angles: 90.00 90.00 90.00
Fractional positions:
Rb1 0.0000 0.0000 0.0000
Pd1 0.0000 0.5000 0.0000
Pd2 0.0000 0.0000 0.5000
Pd3 0.5000 0.0000 0.0000
N1 0.5000 0.5000 0.5000